Record 1
Material: Tm3GaHg3
Method: DFT, PBE
State: optimized geometry

Calculated values
Space-group type: Imm2 (44)
Energy of formation, eV/atom: -0.4246
D(E_F), states/eV/f.u.: 4.5
Calculated volume, Å³/cell: 336.3

a = 3.5913 Å, b = 4.7187 Å, c = 19.8483 Å
α = 90.00°, β = 90.00°, γ = 90.00°
Fractional coordinates of all 14 atoms:
Tm  0.0000  0.0000  0.0000
Tm  0.0000  0.0000  0.3884
Tm  0.0000  0.5000  0.2000
Tm  0.5000  0.0000  0.7000
Tm  0.5000  0.5000  0.5000
Tm  0.5000  0.5000  0.8884
Ga  0.0000  0.5000  0.7639
Ga  0.5000  0.0000  0.2639
Hg  0.0000  0.0000  0.5430
Hg  0.0000  0.0000  0.8437
Hg  0.0000  0.5000  0.6308
Hg  0.5000  0.0000  0.1308
Hg  0.5000  0.5000  0.0430
Hg  0.5000  0.5000  0.3437



Record 2
Material: Cs2Pr2SnS6
Method: DFT, PBE
State: optimized geometry

Calculated values
Formation energy from raw total energies, eV/f.u.: -15.3
Space-group type: C2/m (12)
Calculated volume, Å³/cell: 363.9

a = 7.0994 Å, b = 7.0994 Å, c = 8.6486 Å
α = 98.26°, β = 98.26°, γ = 119.44°
Fractional coordinates of all 11 atoms:
Cs  0.1713  0.8287  0.0000
Cs  0.8287  0.1713  0.0000
Pr  0.3327  0.6673  0.5000
Pr  0.6673  0.3327  0.5000
Sn  0.0000  0.0000  0.5000
S  0.0625  0.3713  0.6799
S  0.2403  0.2403  0.3231
S  0.3713  0.0625  0.6799
S  0.6287  0.9375  0.3201
S  0.7597  0.7597  0.6769
S  0.9375  0.6287  0.3201



What did the second record say?
Material: Cs2Pr2SnS6
Method: DFT, PBE
State: optimized geometry

Calculated values
Formation energy from raw total energies, eV/f.u.: -15.3
Space-group type: C2/m (12)
Calculated volume, Å³/cell: 363.9

a = 7.0994 Å, b = 7.0994 Å, c = 8.6486 Å
α = 98.26°, β = 98.26°, γ = 119.44°
Fractional coordinates of all 11 atoms:
Cs  0.1713  0.8287  0.0000
Cs  0.8287  0.1713  0.0000
Pr  0.3327  0.6673  0.5000
Pr  0.6673  0.3327  0.5000
Sn  0.0000  0.0000  0.5000
S  0.0625  0.3713  0.6799
S  0.2403  0.2403  0.3231
S  0.3713  0.0625  0.6799
S  0.6287  0.9375  0.3201
S  0.7597  0.7597  0.6769
S  0.9375  0.6287  0.3201



Question: calculated volume of number 1 (Tm3GaHg3)?
Answer: 336.3 Å³/cell



Question: calculated volume of number 1 (Tm3GaHg3)?
Answer: 336.3 Å³/cell



Question: Among the records above, which one has the lowest calculated volume?
Answer: Tm3GaHg3